No. 1
Entry from Alexandria: an optimized crystal structure of Ac2Sm6Ho5 (PBE).

Cell and atoms, written as POSCAR:
```
Ac2Sm6Ho5
1.0
-2.8239 -0.0399 2.3669
1.2462 -11.8815 1.2866
12.9975 3.0481 15.5588
Ac Sm Ho
4 12 10
direct
0.0000 0.8381 0.2202
0.0000 0.1619 0.7798
0.0000 0.3381 0.2798
0.0000 0.6619 0.7202
0.5000 0.6804 0.8808
0.0000 0.4238 0.8631
0.0000 0.5762 0.1369
0.0000 0.4420 0.5755
0.0000 0.9420 0.9245
0.0000 0.0762 0.3631
0.0000 0.9238 0.6369
0.5000 0.1804 0.6192
0.5000 0.3196 0.1192
0.5000 0.8196 0.3808
0.0000 0.5580 0.4245
0.0000 0.0580 0.0755
0.5000 0.5991 0.2813
0.5000 0.9009 0.7813
0.5000 0.5000 0.0000
0.5000 0.0991 0.2187
0.5000 0.2991 0.4469
0.5000 0.7009 0.5531
0.5000 0.2009 0.9469
0.5000 0.0000 0.5000
0.5000 0.4009 0.7187
0.5000 0.7991 0.0531
```

Results
space group = Pbam

---

No. 2
Entry from Alexandria: an optimized crystal structure of Ac2Sm5Ho5 (PBE).

Cell and atoms, written as POSCAR:
```
Ac2Sm5Ho5
1.0
5.0441 0.0000 1.0993
2.0953 7.4799 2.5079
0.2649 -0.1565 10.9066
Ho Sm Ac
5 5 2
direct
0.2462 0.7574 0.7502
0.8286 0.8415 0.5012
0.1714 0.1585 0.4988
0.7538 0.2426 0.2498
0.0000 0.0000 0.0000
0.4120 0.9249 0.2512
0.5000 0.5000 0.5000
0.6654 0.6704 0.9989
0.3346 0.3296 0.0011
0.5880 0.0751 0.7488
0.9177 0.4169 0.7476
0.0823 0.5831 0.2524
```

Results
space group = C2/m

---

No. 3
Entry from Alexandria: an optimized crystal structure of AcSm6Ho (PBE).

Cell and atoms, written as POSCAR:
```
AcSm6Ho
1.0
5.1750 0.0000 0.0000
0.0000 5.1750 0.0000
0.0000 0.0000 10.3416
Sm Ac Ho
6 1 1
direct
0.5000 0.5000 0.0000
0.0000 0.5000 0.2582
0.0000 0.5000 0.7418
0.5000 0.0000 0.7418
0.5000 0.5000 0.5000
0.5000 0.0000 0.2582
0.0000 0.0000 0.0000
0.0000 0.0000 0.5000
```

Results
space group = P4/mmm

---

No. 4
Entry from Alexandria: an optimized crystal structure of AcSm4Ho15 (PBE).

Cell and atoms, written as POSCAR:
```
AcSm4Ho15
1.0
-2.0785 -0.8700 4.5204
2.2391 -4.5246 0.1588
20.0402 10.3105 11.1989
Sm Ho Ac
4 15 1
direct
0.0000 0.0000 0.2022
0.0000 0.0000 0.7978
0.0000 0.0000 0.5990
0.0000 0.0000 0.4010
0.5000 0.0000 0.5000
0.5000 0.0000 0.1043
0.0000 0.5000 0.3019
0.5000 0.0000 0.6981
0.0000 0.5000 0.1043
0.5000 0.5000 0.5991
0.5000 0.5000 0.7970
0.5000 0.5000 0.4009
0.0000 0.5000 0.5000
0.5000 0.5000 0.2030
0.5000 0.0000 0.3019
0.0000 0.5000 0.8957
0.0000 0.5000 0.6981
0.5000 0.5000 0.0000
0.5000 0.0000 0.8957
0.0000 0.0000 0.0000
```

Results
space group = P4/mmm

---

No. 5
Entry from Alexandria: an optimized crystal structure of Ac6Sm3Ho (PBE).

Cell and atoms, written as POSCAR:
```
Ac6Sm3Ho
1.0
-7.3768 -0.8697 -7.0669
8.2396 4.5860 -4.0238
2.5180 -9.2437 3.6507
Sm Ac Ho
6 12 2
direct
0.8403 0.5580 0.7226
0.7226 0.8403 0.5580
0.4420 0.2774 0.1597
0.5580 0.7226 0.8403
0.1597 0.4420 0.2774
0.2774 0.1597 0.4420
0.3813 0.5838 0.0866
0.1561 0.0952 0.7322
0.9134 0.6187 0.4162
0.0866 0.3813 0.5838
0.8439 0.9048 0.2678
0.9048 0.2678 0.8439
0.4162 0.9134 0.6187
0.0952 0.7322 0.1561
0.2678 0.8439 0.9048
0.6187 0.4162 0.9134
0.7322 0.1561 0.0952
0.5838 0.0866 0.3813
0.0000 0.0000 0.0000
0.5000 0.5000 0.5000
```

Results
space group = R-3

---

No. 6
Entry from Alexandria: an optimized crystal structure of AcSm2Ho2 (PBE).

Cell and atoms, written as POSCAR:
```
AcSm2Ho2
1.0
1.4423 -5.0389 -3.5953
6.1332 1.1191 -0.9807
-4.3834 0.5154 6.8681
Sm Ho Ac
2 2 1
direct
0.0965 0.4035 0.6979
0.9035 0.5965 0.3021
0.6961 0.8039 0.9029
0.3039 0.1961 0.0971
0.5000 0.0000 0.5000
```

Results
space group = C2/m
energy above the lowest structure with this stoichiometry = 0 meV/atom

---

No. 7
Entry from Alexandria: an optimized crystal structure of AcSmHo4 (PBE).

Cell and atoms, written as POSCAR:
```
AcSmHo4
1.0
6.6997 0.0000 0.0000
3.3499 5.8021 0.0000
3.3499 1.9340 5.4703
Ho Ac Sm
4 1 1
direct
0.1215 0.6262 0.6262
0.6262 0.1215 0.6262
0.6262 0.6262 0.1215
0.6262 0.6262 0.6262
0.2500 0.2500 0.2500
0.0000 0.0000 0.0000
```

Results
space group = F-43m
energy above the lowest structure with this stoichiometry = 216 meV/atom

---

No. 8
Entry from Alexandria: an optimized crystal structure of AcSm7Ho3 (PBE).

Cell and atoms, written as POSCAR:
```
AcSm7Ho3
1.0
8.7184 0.0000 0.0000
0.0000 7.2200 0.0000
0.0000 -3.6100 6.2527
Sm Ac Ho
7 1 3
direct
0.1208 0.6667 0.3333
0.1090 0.6667 0.8334
0.4542 0.8323 0.1677
0.1090 0.1666 0.3333
0.4542 0.3353 0.1677
0.4542 0.8323 0.6647
0.1090 0.1666 0.8334
0.4445 0.3333 0.6667
0.7867 0.9963 0.4981
0.7867 0.5019 0.4981
0.7867 0.5019 0.0037
```

Results
space group = P3m1

---

No. 9
Entry from Alexandria: an optimized crystal structure of Ac5Sm6Ho2 (PBE).

Cell and atoms, written as POSCAR:
```
Ac5Sm6Ho2
1.0
-2.9953 -1.8608 1.4076
-1.1985 -5.8806 -10.3240
13.2418 -15.7095 7.4109
Ac Sm Ho
10 12 4
direct
0.5000 0.5678 0.5755
0.5000 0.6456 0.2768
0.5000 0.4322 0.4245
0.5000 0.3544 0.7232
0.5000 0.8544 0.7768
0.5000 0.0678 0.9245
0.5000 0.0000 0.5000
0.5000 0.5000 0.0000
0.5000 0.1456 0.2232
0.5000 0.9322 0.0755
0.5000 0.4174 0.1531
0.5000 0.5826 0.8469
0.0000 0.8381 0.6192
0.0000 0.3381 0.8808
0.0000 0.2262 0.0574
0.0000 0.6619 0.1192
0.5000 0.0826 0.6531
0.0000 0.7738 0.9426
0.0000 0.1619 0.3808
0.0000 0.2738 0.5574
0.0000 0.7262 0.4426
0.5000 0.9174 0.3469
0.0000 0.1163 0.7833
0.0000 0.6163 0.7167
0.0000 0.3837 0.2833
0.0000 0.8837 0.2167
```

Results
space group = Pbam

---

No. 10
Entry from Alexandria: an optimized crystal structure of AcSm3Ho4 (PBE).

Cell and atoms, written as POSCAR:
```
AcSm3Ho4
1.0
-3.2805 0.5520 5.3953
5.3139 -3.6399 3.6033
5.3644 10.0432 2.2342
Ho Sm Ac
8 6 2
direct
0.4815 0.3834 0.0000
0.6471 0.6196 0.2474
0.9794 0.6218 0.0000
0.1471 0.3804 0.2526
0.6471 0.6196 0.7526
0.4794 0.3782 0.5000
0.1471 0.3804 0.7474
0.9815 0.6166 0.5000
0.1440 0.8697 0.2526
0.1440 0.8697 0.7474
0.9817 0.1331 0.5000
0.6440 0.1303 0.7526
0.6440 0.1303 0.2474
0.4817 0.8669 0.0000
0.4903 0.8741 0.5000
0.9903 0.1259 0.0000
```

Results
space group = Pmn2_1
energy above the lowest structure with this stoichiometry = 0 meV/atom

---

No. 11
Entry from Alexandria: an optimized crystal structure of Ac2Sm9Ho (PBE).

Cell and atoms, written as POSCAR:
```
Ac2Sm9Ho
1.0
5.1998 0.0000 0.0000
0.0000 5.1998 0.0000
0.0000 0.0000 15.6057
Sm Ac Ho
9 2 1
direct
0.0000 0.5000 0.8402
0.5000 0.0000 0.1598
0.5000 0.5000 0.6702
0.0000 0.5000 0.1598
0.5000 0.5000 0.3298
0.5000 0.0000 0.8402
0.5000 0.0000 0.5000
0.0000 0.5000 0.5000
0.5000 0.5000 0.0000
0.0000 0.0000 0.6694
0.0000 0.0000 0.3306
0.0000 0.0000 0.0000
```

Results
space group = P4/mmm

---

No. 12
Entry from Alexandria: an optimized crystal structure of Ac2Sm3Ho3 (PBE).

Cell and atoms, written as POSCAR:
```
Ac2Sm3Ho3
1.0
-2.5145 -2.7034 -0.8480
7.7787 -4.4845 -0.3081
-1.5678 -3.8909 17.0535
Ho Sm Ac
6 6 4
direct
0.0440 0.0881 0.8819
0.4114 0.8228 0.7500
0.5886 0.1772 0.2500
0.9560 0.9119 0.1181
0.9560 0.9119 0.3819
0.0440 0.0881 0.6181
0.5921 0.1843 0.0411
0.5921 0.1843 0.4589
0.6151 0.2303 0.7500
0.4079 0.8157 0.9589
0.3849 0.7697 0.2500
0.4079 0.8157 0.5411
0.2516 0.5033 0.3939
0.7484 0.4967 0.6061
0.7484 0.4967 0.8939
0.2516 0.5033 0.1061
```

Results
space group = Cmcm

---

Number 1: DOS(E_F) 34.00 states/eV/cell, formation enthalpy at 0 K 0.12 eV/atom. Number 2: DOS(E_F) 17.93 states/eV/cell, formation enthalpy at 0 K 0.04 eV/atom. Number 3: DOS(E_F) 13.13 states/eV/cell, formation enthalpy at 0 K 0.03 eV/atom. Number 4: DOS(E_F) 27.43 states/eV/cell, formation enthalpy at 0 K 0.03 eV/atom. Number 5: DOS(E_F) 31.12 states/eV/cell, formation enthalpy at 0 K 0.12 eV/atom. Number 6: DOS(E_F) 7.25 states/eV/cell, formation enthalpy at 0 K 0.05 eV/atom. Number 7: DOS(E_F) 15.61 states/eV/cell, formation enthalpy at 0 K 0.28 eV/atom. Number 8: DOS(E_F) 17.46 states/eV/cell, formation enthalpy at 0 K 0.21 eV/atom. Number 9: DOS(E_F) 38.82 states/eV/cell, formation enthalpy at 0 K 0.08 eV/atom. Number 10: DOS(E_F) 28.79 states/eV/cell, formation enthalpy at 0 K 0.04 eV/atom. Number 11: DOS(E_F) 20.55 states/eV/cell, formation enthalpy at 0 K 0.03 eV/atom. Number 12: DOS(E_F) 20.41 states/eV/cell, formation enthalpy at 0 K 0.16 eV/atom.